## Rb3Mo12PO40 (PBE+U)

Data for an optimized crystal structure of Rb3Mo12PO40.

Properties
* total DFT energy (no corrections): -773.4 eV per cell
* symmetry: Pn-3m, No. 224

abc: 12.0534 12.0534 12.0534
angles: 90.00 90.00 90.00
Last column: nearest neighbours and their distance in Å.
Element x y z (fractional)
Rb (0.2500, 0.2500, 0.7500)  12 O 3.23-3.42
Rb (0.2500, 0.7500, 0.2500)  12 O 3.23-3.42
Rb (0.2500, 0.7500, 0.7500)  12 O 3.23-3.42
Rb (0.7500, 0.2500, 0.2500)  12 O 3.23-3.42
Rb (0.7500, 0.2500, 0.7500)  12 O 3.23-3.42
Rb (0.7500, 0.7500, 0.2500)  12 O 3.23-3.42
Mo (0.0380, 0.0380, 0.2421)  1 O 1.71
Mo (0.0380, 0.2421, 0.0380)  1 O 1.71
Mo (0.0380, 0.2579, 0.4620)  1 O 1.71
Mo (0.0380, 0.4620, 0.2579)  1 O 1.71
Mo (0.2421, 0.0380, 0.0380)  1 O 1.71
Mo (0.2421, 0.4620, 0.4620)  1 O 1.71
Mo (0.2579, 0.0380, 0.4620)  1 O 1.71
Mo (0.2579, 0.4620, 0.0380)  1 O 1.71
Mo (0.4620, 0.0380, 0.2579)  1 O 1.71
Mo (0.4620, 0.2421, 0.4620)  1 O 1.71
Mo (0.4620, 0.2579, 0.0380)  1 O 1.71
Mo (0.4620, 0.4620, 0.2421)  1 O 1.71
Mo (0.5380, 0.5380, 0.7579)  1 O 1.71
Mo (0.5380, 0.7421, 0.9620)  1 O 1.71
Mo (0.5380, 0.7579, 0.5380)  1 O 1.71
Mo (0.5380, 0.9620, 0.7421)  1 O 1.71
Mo (0.7421, 0.5380, 0.9620)  1 O 1.71
Mo (0.7421, 0.9620, 0.5380)  1 O 1.71
Mo (0.7579, 0.5380, 0.5380)  1 O 1.71
Mo (0.7579, 0.9620, 0.9620)  1 O 1.71
Mo (0.9620, 0.5380, 0.7421)  1 O 1.71
Mo (0.9620, 0.7421, 0.5380)  1 O 1.71
Mo (0.9620, 0.7579, 0.9620)  1 O 1.71
Mo (0.9620, 0.9620, 0.7579)  1 O 1.71
P (0.2500, 0.2500, 0.2500)  4 O 1.55
P (0.7500, 0.7500, 0.7500)  4 O 1.55
O (0.0019, 0.6528, 0.8472)  2 Mo 1.94
O (0.0019, 0.8472, 0.6528)  2 Mo 1.94
O (0.0316, 0.6266, 0.6266)  2 Mo 1.94
O (0.0316, 0.8734, 0.8734)  2 Mo 1.94
O (0.0611, 0.0611, 0.7344)  1 Mo 1.71
O (0.0611, 0.4389, 0.7656)  1 Mo 1.71
O (0.0611, 0.7344, 0.0611)  1 Mo 1.71
O (0.0611, 0.7656, 0.4389)  1 Mo 1.71
O (0.1266, 0.1266, 0.9684)  2 Mo 1.94
O (0.1266, 0.3734, 0.5316)  2 Mo 1.94
O (0.1266, 0.5316, 0.3734)  2 Mo 1.94
O (0.1266, 0.9684, 0.1266)  2 Mo 1.94
O (0.1528, 0.1528, 0.5019)  2 Mo 1.94
O (0.1528, 0.3472, 0.9981)  2 Mo 1.94
O (0.1528, 0.5019, 0.1528)  2 Mo 1.94
O (0.1528, 0.9981, 0.3472)  2 Mo 1.94
O (0.1759, 0.1759, 0.1759)  1 P 1.55
O (0.1759, 0.3241, 0.3241)  1 P 1.55
O (0.2344, 0.5611, 0.9389)  1 Mo 1.71
O (0.2344, 0.9389, 0.5611)  1 Mo 1.71
O (0.2656, 0.5611, 0.5611)  1 Mo 1.71
O (0.2656, 0.9389, 0.9389)  1 Mo 1.71
O (0.3241, 0.1759, 0.3241)  1 P 1.55
O (0.3241, 0.3241, 0.1759)  1 P 1.55
O (0.3472, 0.1528, 0.9981)  2 Mo 1.94
O (0.3472, 0.3472, 0.5019)  2 Mo 1.94
O (0.3472, 0.5019, 0.3472)  2 Mo 1.94
O (0.3472, 0.9981, 0.1528)  2 Mo 1.94
O (0.3734, 0.1266, 0.5316)  2 Mo 1.94
O (0.3734, 0.3734, 0.9684)  2 Mo 1.94
O (0.3734, 0.5316, 0.1266)  2 Mo 1.94
O (0.3734, 0.9684, 0.3734)  2 Mo 1.94
O (0.4389, 0.0611, 0.7656)  1 Mo 1.71
O (0.4389, 0.4389, 0.7344)  1 Mo 1.71
O (0.4389, 0.7344, 0.4389)  1 Mo 1.71
O (0.4389, 0.7656, 0.0611)  1 Mo 1.71
O (0.4684, 0.6266, 0.8734)  2 Mo 1.94
O (0.4684, 0.8734, 0.6266)  2 Mo 1.94
O (0.4981, 0.6528, 0.6528)  2 Mo 1.94
O (0.4981, 0.8472, 0.8472)  2 Mo 1.94
O (0.5019, 0.1528, 0.1528)  2 Mo 1.94
O (0.5019, 0.3472, 0.3472)  2 Mo 1.94
O (0.5316, 0.1266, 0.3734)  2 Mo 1.94
O (0.5316, 0.3734, 0.1266)  2 Mo 1.94
O (0.5611, 0.2344, 0.9389)  1 Mo 1.71
O (0.5611, 0.2656, 0.5611)  1 Mo 1.71
O (0.5611, 0.5611, 0.2656)  1 Mo 1.71
O (0.5611, 0.9389, 0.2344)  1 Mo 1.71
O (0.6266, 0.0316, 0.6266)  2 Mo 1.94
O (0.6266, 0.4684, 0.8734)  2 Mo 1.94
O (0.6266, 0.6266, 0.0316)  2 Mo 1.94
O (0.6266, 0.8734, 0.4684)  2 Mo 1.94
O (0.6528, 0.0019, 0.8472)  2 Mo 1.94
O (0.6528, 0.4981, 0.6528)  2 Mo 1.94
O (0.6528, 0.6528, 0.4981)  2 Mo 1.94
O (0.6528, 0.8472, 0.0019)  2 Mo 1.94
O (0.6759, 0.6759, 0.8241)  1 P 1.55
O (0.6759, 0.8241, 0.6759)  1 P 1.55
O (0.7344, 0.0611, 0.0611)  1 Mo 1.71
O (0.7344, 0.4389, 0.4389)  1 Mo 1.71
O (0.7656, 0.0611, 0.4389)  1 Mo 1.71
O (0.7656, 0.4389, 0.0611)  1 Mo 1.71
O (0.8241, 0.6759, 0.6759)  1 P 1.55
O (0.8241, 0.8241, 0.8241)  1 P 1.55
O (0.8472, 0.0019, 0.6528)  2 Mo 1.94
O (0.8472, 0.4981, 0.8472)  2 Mo 1.94
O (0.8472, 0.6528, 0.0019)  2 Mo 1.94
O (0.8472, 0.8472, 0.4981)  2 Mo 1.94
O (0.8734, 0.0316, 0.8734)  2 Mo 1.94
O (0.8734, 0.4684, 0.6266)  2 Mo 1.94
O (0.8734, 0.6266, 0.4684)  2 Mo 1.94
O (0.8734, 0.8734, 0.0316)  2 Mo 1.94
O (0.9389, 0.2344, 0.5611)  1 Mo 1.71
O (0.9389, 0.2656, 0.9389)  1 Mo 1.71
O (0.9389, 0.5611, 0.2344)  1 Mo 1.71
O (0.9389, 0.9389, 0.2656)  1 Mo 1.71
O (0.9684, 0.1266, 0.1266)  2 Mo 1.94
O (0.9684, 0.3734, 0.3734)  2 Mo 1.94
O (0.9981, 0.1528, 0.3472)  2 Mo 1.94
O (0.9981, 0.3472, 0.1528)  2 Mo 1.94